No. 1
Entry from OQMD: crystalline SrHoCu2Sb2 at its relaxed geometry (PBE-GGA).

Unit cell a=4.4506 b=4.4506 c=8.3822 alpha=90.00 beta=90.00 gamma=120.00
Last column: nearest neighbours and their distance in Å.
Atoms (fractional coordinates):
Sr  0.0000  0.0000  0.0000  6 Sb 3.39, 6 Cu 3.61-3.63
Ho  0.0000  0.0000  0.5000  6 Cu 3.04-3.05, 6 Sb 3.24
Cu  0.3333  0.6667  0.3052  3 Sb 2.59
Cu  0.6667  0.3333  0.6966  3 Sb 2.59
Sb  0.3333  0.6667  0.7359  3 Cu 2.59
Sb  0.6667  0.3333  0.2637  3 Cu 2.59

***

No. 2
Entry from OQMD: crystalline Hg6BiAs4Cl7 at its relaxed geometry (PBE-GGA).

Unit cell a=12.4419 b=12.4419 c=12.4419 alpha=90.00 beta=90.00 gamma=90.00
Last column: nearest neighbours and their distance in Å.
Atoms (fractional coordinates):
Hg  0.0494  0.1832  0.6952  2 As 2.57
Hg  0.0494  0.3168  0.1952  2 As 2.57
Hg  0.1832  0.6952  0.0494  2 As 2.57
Hg  0.1832  0.8048  0.5494  2 As 2.57
Hg  0.1952  0.0494  0.3168  2 As 2.57
Hg  0.1952  0.4506  0.8168  2 As 2.57
Hg  0.3048  0.5494  0.3168  2 As 2.57
Hg  0.3048  0.9506  0.8168  2 As 2.57
Hg  0.3168  0.1952  0.0494  2 As 2.57
Hg  0.3168  0.3048  0.5494  2 As 2.57
Hg  0.4506  0.6832  0.6952  2 As 2.57
Hg  0.4506  0.8168  0.1952  2 As 2.57
Hg  0.5494  0.1832  0.8048  2 As 2.57
Hg  0.5494  0.3168  0.3048  2 As 2.57
Hg  0.6832  0.6952  0.4506  2 As 2.57
Hg  0.6832  0.8048  0.9506  2 As 2.57
Hg  0.6952  0.0494  0.1832  2 As 2.57
Hg  0.6952  0.4506  0.6832  2 As 2.57
Hg  0.8048  0.5494  0.1832  2 As 2.57
Hg  0.8048  0.9506  0.6832  2 As 2.57
Hg  0.8168  0.1952  0.4506  2 As 2.57
Hg  0.8168  0.3048  0.9506  2 As 2.57
Hg  0.9506  0.6832  0.8048  2 As 2.57
Hg  0.9506  0.8168  0.3048  2 As 2.57
Bi  0.0000  0.0000  0.0000  6 Cl 2.73
Bi  0.0000  0.5000  0.5000  6 Cl 2.73
Bi  0.5000  0.0000  0.5000  6 Cl 2.73
Bi  0.5000  0.5000  0.0000  6 Cl 2.73
As  0.1493  0.6493  0.8507  1 As 2.49, 3 Hg 2.57
As  0.1493  0.8507  0.3507  1 As 2.49, 3 Hg 2.57
As  0.2351  0.2351  0.2351  1 As 2.49, 3 Hg 2.57
As  0.2351  0.2649  0.7351  1 As 2.49, 3 Hg 2.57
As  0.2649  0.7351  0.2351  1 As 2.49, 3 Hg 2.57
As  0.2649  0.7649  0.7351  1 As 2.49, 3 Hg 2.57
As  0.3507  0.1493  0.8507  1 As 2.49, 3 Hg 2.57
As  0.3507  0.3507  0.3507  1 As 2.49, 3 Hg 2.57
As  0.6493  0.6493  0.6493  1 As 2.49, 3 Hg 2.57
As  0.6493  0.8507  0.1493  1 As 2.49, 3 Hg 2.57
As  0.7351  0.2351  0.2649  1 As 2.49, 3 Hg 2.57
As  0.7351  0.2649  0.7649  1 As 2.49, 3 Hg 2.57
As  0.7649  0.7351  0.2649  1 As 2.49, 3 Hg 2.57
As  0.7649  0.7649  0.7649  1 As 2.49, 3 Hg 2.57
As  0.8507  0.1493  0.6493  1 As 2.49, 3 Hg 2.57
As  0.8507  0.3507  0.1493  1 As 2.49, 3 Hg 2.57
Cl  0.0000  0.0000  0.5000  2 As 3.22, 6 Hg 3.39
Cl  0.0000  0.5000  0.0000  2 As 3.22, 6 Hg 3.39
Cl  0.0438  0.5506  0.2906  1 Bi 2.73
Cl  0.0438  0.9494  0.7906  1 Bi 2.73
Cl  0.0506  0.2094  0.9562  1 Bi 2.73
Cl  0.0506  0.2906  0.4562  1 Bi 2.73
Cl  0.2094  0.5438  0.5506  1 Bi 2.73
Cl  0.2094  0.9562  0.0506  1 Bi 2.73
Cl  0.2906  0.0438  0.5506  1 Bi 2.73
Cl  0.2906  0.4562  0.0506  1 Bi 2.73
Cl  0.4494  0.7094  0.9562  1 Bi 2.73
Cl  0.4494  0.7906  0.4562  1 Bi 2.73
Cl  0.4562  0.0506  0.2906  1 Bi 2.73
Cl  0.4562  0.4494  0.7906  1 Bi 2.73
Cl  0.5000  0.0000  0.0000  2 As 3.22, 6 Hg 3.39
Cl  0.5000  0.5000  0.5000  2 As 3.22, 6 Hg 3.39
Cl  0.5438  0.5506  0.2094  1 Bi 2.73
Cl  0.5438  0.9494  0.7094  1 Bi 2.73
Cl  0.5506  0.2094  0.5438  1 Bi 2.73
Cl  0.5506  0.2906  0.0438  1 Bi 2.73
Cl  0.7094  0.5438  0.9494  1 Bi 2.73
Cl  0.7094  0.9562  0.4494  1 Bi 2.73
Cl  0.7906  0.0438  0.9494  1 Bi 2.73
Cl  0.7906  0.4562  0.4494  1 Bi 2.73
Cl  0.9494  0.7094  0.5438  1 Bi 2.73
Cl  0.9494  0.7906  0.0438  1 Bi 2.73
Cl  0.9562  0.0506  0.2094  1 Bi 2.73
Cl  0.9562  0.4494  0.7094  1 Bi 2.73

***

No. 3
Entry from OQMD: crystalline TbPrSi2 at its relaxed geometry (PBE-GGA).

Energy relative to the lowest polymorph listed for this composition (meV per atom): 0

Unit cell a=3.9079 b=8.1560 c=5.8502 alpha=90.00 beta=90.00 gamma=90.00
Last column: nearest neighbours and their distance in Å.
Atoms (fractional coordinates):
Tb  0.0000  0.0692  0.0000  7 Si 2.97-3.17
Tb  0.5000  0.9308  0.5000  7 Si 2.97-3.17
Pr  0.0000  0.5718  0.7284  7 Si 3.08-3.30
Pr  0.5000  0.4282  0.2284  7 Si 3.08-3.30
Si  0.0000  0.2050  0.4917  2 Si 2.51
Si  0.0000  0.7228  0.2403  2 Si 2.51
Si  0.5000  0.2772  0.7403  2 Si 2.51
Si  0.5000  0.7950  0.9917  2 Si 2.51

***

No. 4
Entry from OQMD: crystalline GaTcAs2 at its relaxed geometry (PBE-GGA).

Unit cell a=6.4019 b=6.4019 c=6.4019 alpha=90.00 beta=90.00 gamma=90.00
Last column: nearest neighbours and their distance in Å.
Atoms (fractional coordinates):
Ga  0.0000  0.0000  0.0000  4 As 2.77, 4 Tc 2.77
Ga  0.0000  0.5000  0.5000  4 As 2.77, 4 Tc 2.77
Ga  0.5000  0.0000  0.5000  4 As 2.77, 4 Tc 2.77
Ga  0.5000  0.5000  0.0000  4 Tc 2.77, 4 As 2.77
Tc  0.2500  0.2500  0.7500  4 As 2.77, 4 Ga 2.77
Tc  0.2500  0.7500  0.2500  4 As 2.77, 4 Ga 2.77
Tc  0.7500  0.2500  0.2500  4 As 2.77, 4 Ga 2.77
Tc  0.7500  0.7500  0.7500  4 As 2.77, 4 Ga 2.77
As  0.0000  0.0000  0.5000  4 As 2.77, 4 Tc 2.77
As  0.0000  0.5000  0.0000  4 As 2.77, 4 Tc 2.77
As  0.2500  0.2500  0.2500  4 As 2.77, 4 Ga 2.77
As  0.2500  0.7500  0.7500  4 As 2.77, 4 Ga 2.77
As  0.5000  0.0000  0.0000  4 As 2.77, 4 Tc 2.77
As  0.5000  0.5000  0.5000  4 As 2.77, 4 Tc 2.77
As  0.7500  0.2500  0.7500  4 As 2.77, 4 Ga 2.77
As  0.7500  0.7500  0.2500  4 As 2.77, 4 Ga 2.77

***

No. 5
Entry from OQMD: crystalline Zr2TcPt at its relaxed geometry (PBE-GGA).

Energy of formation (eV/atom): -0.272

Unit cell a=6.5792 b=6.5792 c=6.5792 alpha=90.00 beta=90.00 gamma=90.00
Last column: nearest neighbours and their distance in Å.
Atoms (fractional coordinates):
Zr  0.0000  0.0000  0.0000  4 Zr 2.85, 4 Tc 2.85
Zr  0.0000  0.5000  0.5000  4 Zr 2.85, 4 Tc 2.85
Zr  0.2500  0.2500  0.2500  4 Zr 2.85, 4 Pt 2.85
Zr  0.2500  0.7500  0.7500  4 Zr 2.85, 4 Pt 2.85
Zr  0.5000  0.0000  0.5000  4 Zr 2.85, 4 Tc 2.85
Zr  0.5000  0.5000  0.0000  4 Zr 2.85, 4 Tc 2.85
Zr  0.7500  0.2500  0.7500  4 Zr 2.85, 4 Pt 2.85
Zr  0.7500  0.7500  0.2500  4 Zr 2.85, 4 Pt 2.85
Tc  0.2500  0.2500  0.7500  4 Zr 2.85, 4 Pt 2.85
Tc  0.2500  0.7500  0.2500  4 Zr 2.85, 4 Pt 2.85
Tc  0.7500  0.2500  0.2500  4 Zr 2.85, 4 Pt 2.85
Tc  0.7500  0.7500  0.7500  4 Zr 2.85, 4 Pt 2.85
Pt  0.0000  0.0000  0.5000  4 Zr 2.85, 4 Tc 2.85
Pt  0.0000  0.5000  0.0000  4 Zr 2.85, 4 Tc 2.85
Pt  0.5000  0.0000  0.0000  4 Zr 2.85, 4 Tc 2.85
Pt  0.5000  0.5000  0.5000  4 Zr 2.85, 4 Tc 2.85

***

No. 6
Entry from OQMD: crystalline LuZnCuTc at its relaxed geometry (PBE-GGA).

Energy relative to the lowest polymorph listed for this composition (meV per atom): 0
Energy of formation (eV/atom): 0.109

Unit cell a=6.3890 b=6.3890 c=6.3890 alpha=90.00 beta=90.00 gamma=90.00
Last column: nearest neighbours and their distance in Å.
Atoms (fractional coordinates):
Lu  0.0000  0.0000  0.0000  4 Cu 2.77, 4 Tc 2.77
Lu  0.0000  0.5000  0.5000  4 Cu 2.77, 4 Tc 2.77
Lu  0.5000  0.0000  0.5000  4 Cu 2.77, 4 Tc 2.77
Lu  0.5000  0.5000  0.0000  4 Cu 2.77, 4 Tc 2.77
Zn  0.0000  0.0000  0.5000  4 Tc 2.77, 4 Cu 2.77
Zn  0.0000  0.5000  0.0000  4 Tc 2.77, 4 Cu 2.77
Zn  0.5000  0.0000  0.0000  4 Tc 2.77, 4 Cu 2.77
Zn  0.5000  0.5000  0.5000  4 Tc 2.77, 4 Cu 2.77
Cu  0.2500  0.2500  0.7500  4 Zn 2.77, 4 Lu 2.77
Cu  0.2500  0.7500  0.2500  4 Zn 2.77, 4 Lu 2.77
Cu  0.7500  0.2500  0.2500  4 Zn 2.77, 4 Lu 2.77
Cu  0.7500  0.7500  0.7500  4 Zn 2.77, 4 Lu 2.77
Tc  0.2500  0.2500  0.2500  4 Lu 2.77, 4 Zn 2.77
Tc  0.2500  0.7500  0.7500  4 Lu 2.77, 4 Zn 2.77
Tc  0.7500  0.2500  0.7500  4 Lu 2.77, 4 Zn 2.77
Tc  0.7500  0.7500  0.2500  4 Lu 2.77, 4 Zn 2.77

***

No. 7
Entry from OQMD: crystalline Pr2Mo at its relaxed geometry (PBE-GGA).

Energy of formation (eV/atom): 1.362

Unit cell a=6.1326 b=6.1326 c=6.1326 alpha=60.00 beta=60.00 gamma=60.00
Last column: nearest neighbours and their distance in Å.
Atoms (fractional coordinates):
Pr  0.0000  0.0000  0.0000  6 Pr 3.07
Pr  0.0000  0.0000  0.5000  6 Pr 3.07
Pr  0.0000  0.5000  0.0000  6 Pr 3.07
Pr  0.5000  0.0000  0.0000  6 Pr 3.07
Mo  0.3750  0.3750  0.3750  12 Pr 3.60, 4 Mo 3.76
Mo  0.6250  0.6250  0.6250  12 Pr 3.60, 4 Mo 3.76

***

No. 8
Entry from OQMD: crystalline CoCuGePb at its relaxed geometry (PBE-GGA).

Energy relative to the lowest polymorph listed for this composition (meV per atom): 196

Unit cell a=6.5171 b=6.5171 c=6.5171 alpha=90.00 beta=90.00 gamma=90.00
Last column: nearest neighbours and their distance in Å.
Atoms (fractional coordinates):
Co  0.0000  0.0000  0.0000  4 Ge 2.82, 4 Cu 2.82
Co  0.0000  0.5000  0.5000  4 Ge 2.82, 4 Cu 2.82
Co  0.5000  0.0000  0.5000  4 Ge 2.82, 4 Cu 2.82
Co  0.5000  0.5000  0.0000  4 Ge 2.82, 4 Cu 2.82
Cu  0.2500  0.2500  0.2500  4 Pb 2.82, 4 Co 2.82
Cu  0.2500  0.7500  0.7500  4 Pb 2.82, 4 Co 2.82
Cu  0.7500  0.2500  0.7500  4 Pb 2.82, 4 Co 2.82
Cu  0.7500  0.7500  0.2500  4 Pb 2.82, 4 Co 2.82
Ge  0.2500  0.2500  0.7500  4 Pb 2.82, 4 Co 2.82
Ge  0.2500  0.7500  0.2500  4 Pb 2.82, 4 Co 2.82
Ge  0.7500  0.2500  0.2500  4 Pb 2.82, 4 Co 2.82
Ge  0.7500  0.7500  0.7500  4 Pb 2.82, 4 Co 2.82
Pb  0.0000  0.0000  0.5000  4 Ge 2.82, 4 Cu 2.82
Pb  0.0000  0.5000  0.0000  4 Ge 2.82, 4 Cu 2.82
Pb  0.5000  0.0000  0.0000  4 Ge 2.82, 4 Cu 2.82
Pb  0.5000  0.5000  0.5000  4 Ge 2.82, 4 Cu 2.82

***

No. 9
Entry from OQMD: crystalline In2TcW at its relaxed geometry (PBE-GGA).

Unit cell a=6.5892 b=6.5892 c=6.5892 alpha=90.00 beta=90.00 gamma=90.00
Last column: nearest neighbours and their distance in Å.
Atoms (fractional coordinates):
In  0.0000  0.0000  0.0000  4 W 2.85, 4 In 2.85
In  0.0000  0.5000  0.5000  4 W 2.85, 4 In 2.85
In  0.2500  0.2500  0.2500  4 In 2.85, 4 Tc 2.85
In  0.2500  0.7500  0.7500  4 In 2.85, 4 Tc 2.85
In  0.5000  0.0000  0.5000  4 W 2.85, 4 In 2.85
In  0.5000  0.5000  0.0000  4 W 2.85, 4 In 2.85
In  0.7500  0.2500  0.7500  4 In 2.85, 4 Tc 2.85
In  0.7500  0.7500  0.2500  4 In 2.85, 4 Tc 2.85
Tc  0.0000  0.0000  0.5000  4 In 2.85, 4 W 2.85
Tc  0.0000  0.5000  0.0000  4 In 2.85, 4 W 2.85
Tc  0.5000  0.0000  0.0000  4 In 2.85, 4 W 2.85
Tc  0.5000  0.5000  0.5000  4 In 2.85, 4 W 2.85
W  0.2500  0.2500  0.7500  4 In 2.85, 4 Tc 2.85
W  0.2500  0.7500  0.2500  4 In 2.85, 4 Tc 2.85
W  0.7500  0.2500  0.2500  4 In 2.85, 4 Tc 2.85
W  0.7500  0.7500  0.7500  4 In 2.85, 4 Tc 2.85

***

No. 10
Entry from OQMD: crystalline ErTeAuO at its relaxed geometry (PBE-GGA).

Energy relative to the lowest polymorph listed for this composition (meV per atom): 34

Unit cell a=5.6280 b=5.6378 c=10.1096 alpha=90.00 beta=90.00 gamma=90.00
Last column: nearest neighbours and their distance in Å.
Atoms (fractional coordinates):
Er  0.0000  0.0000  0.0000  4 O 2.25-2.26
Er  0.0000  0.5000  0.2088  4 O 2.25-2.26
Er  0.5000  0.0000  0.2088  4 O 2.25-2.26
Er  0.5000  0.5000  0.0000  4 O 2.25-2.26
Te  0.0000  0.0000  0.3862  2 Au 2.82
Te  0.0000  0.5000  0.8207  4 Au 2.91-2.99
Te  0.5000  0.0000  0.8207  4 Au 2.91-2.99
Te  0.5000  0.5000  0.3862  2 Au 2.82
Au  0.2236  0.2091  0.6068  3 Te 2.82-2.99, 4 Au 2.83-2.85
Au  0.2764  0.7091  0.6068  3 Te 2.82-2.99, 4 Au 2.83-2.85
Au  0.7236  0.2909  0.6068  3 Te 2.82-2.99, 4 Au 2.83-2.85
Au  0.7764  0.7909  0.6068  3 Te 2.82-2.99, 4 Au 2.83-2.85
O  0.2494  0.2491  0.1040  4 Er 2.25-2.26
O  0.2506  0.7491  0.1040  4 Er 2.25-2.26
O  0.7494  0.2509  0.1040  4 Er 2.25-2.26
O  0.7506  0.7509  0.1040  4 Er 2.25-2.26

***

No. 11
Entry from OQMD: crystalline K2CdSe2O6 at its relaxed geometry (PBE-GGA).

Energy relative to the lowest polymorph listed for this composition (meV per atom): 0

Unit cell a=7.0665 b=7.0665 c=7.0665 alpha=47.67 beta=47.67 gamma=47.67
Last column: nearest neighbours and their distance in Å.
Atoms (fractional coordinates):
K  0.1964  0.1964  0.1964  9 O 2.77-3.04
K  0.8036  0.8036  0.8036  9 O 2.77-3.04
Cd  0.0000  0.0000  0.0000  6 O 2.32
Se  0.3761  0.3761  0.3761  3 O 1.72
Se  0.6239  0.6239  0.6239  3 O 1.72
O  0.2579  0.2579  0.7297  1 Se 1.72
O  0.2579  0.7297  0.2579  1 Se 1.72
O  0.2703  0.7421  0.7421  1 Se 1.72
O  0.7297  0.2579  0.2579  1 Se 1.72
O  0.7421  0.2703  0.7421  1 Se 1.72
O  0.7421  0.7421  0.2703  1 Se 1.72

***

Number 1: calculated total energy -26.05 eV/f.u.. Number 2: calculated total energy -45.88 eV/f.u.. Number 3: calculated total energy -23.37 eV/f.u.. Number 4: calculated total energy -21.03 eV/f.u.. Number 5: calculated total energy -34.60 eV/f.u.. Number 6: calculated total energy -19.43 eV/f.u.. Number 7: calculated total energy -16.31 eV/f.u.. Number 8: calculated total energy -16.64 eV/f.u.. Number 9: calculated total energy -26.31 eV/f.u.. Number 10: calculated total energy -22.97 eV/f.u.. Number 11: calculated total energy -53.80 eV/f.u..